Here is a relaxed LiCrCu2 crystal from the Alexandria database. Energies are from PBE.

The total moment is 3.7 μB per formula unit. Its density of states at the Fermi level is 2.476 states/eV/f.u. For the formation energy, the calculation gives 0.209 eV/atom. The value obtained for the relative energy among the computed polymorphs is 0.034 eV/atom.

The space group is P4/mmm (No. 123) and the conventional cell measures 4.269, 4.269 and 2.912 Å, with angles of 90.00, 90.00 and 90.00 degrees. Symmetry generates all atoms from Li at (0.000, 0.000, 0.000), Cr at (0.500, 0.500, 0.000) and Cu at (0.000, 0.500, 0.500).

***

Here is a relaxed USn2As crystal from the Alexandria database. Energies are from PBE.

The total moment is 1.7 μB per formula unit. Its density of states at the Fermi level is 5.715 states/eV/f.u. For the formation energy, the calculation gives -0.233 eV/atom.

The space group is P4/mmm (No. 123) and the conventional cell measures 4.271, 4.271 and 5.005 Å, with angles of 90.00, 90.00 and 90.00 degrees. Symmetry generates all atoms from U at (0.000, 0.000, 0.000), Sn at (0.000, 0.500, 0.500) and As at (0.500, 0.500, 0.000).

***

Here is a relaxed K4Ac3NpTe8 crystal from the Alexandria database. Energies are from PBE.

The total moment is 4.0 μB per formula unit. Its density of states at the Fermi level is 4.191 states/eV/f.u. The formation energy (no corrections) comes out at -21.34 eV/f.u.

The space group is R-3m (No. 166, hexagonal axes) and the conventional cell measures 9.5936, 9.5936 and 24.7023 Å, with angles of 90.00, 90.00 and 120.00 degrees. Symmetry generates all atoms from K at (0.0000, 0.0000, 0.0000), K at (0.0000, 0.5000, 0.0000), Ac at (0.0000, 0.5000, 0.5000), Np at (0.0000, 0.0000, 0.5000), Te at (0.0000, 0.0000, 0.2419) and Te at (0.0119, 0.5059, 0.2390).

***

Here is a relaxed KMg crystal from the Alexandria database. Energies are from PBE.

The total moment is 0.0 μB per formula unit. Its density of states at the Fermi level is 1.327 states/eV/f.u. For the formation energy, the calculation gives 0.179 eV/atom.

The space group is P2_12_12_1 (No. 19) and the conventional cell measures 5.142, 10.791 and 12.152 Å, with angles of 90.00, 90.00 and 90.00 degrees. Symmetry generates all atoms from K at (0.243, 0.220, 0.358), K at (0.244, 0.997, 0.639), Mg at (0.245, 0.564, 0.599) and Mg at (0.245, 0.774, 0.416).

***

Here is a relaxed LiLa3Cd crystal from the Alexandria database. Energies are from PBE.

The total moment is 0.0 μB per formula unit. Its density of states at the Fermi level is 9.585 states/eV/f.u. For the formation energy, the calculation gives 0.338 eV/atom. The value obtained for the relative energy among the computed polymorphs is 0.000 eV/atom.

The space group is Pm-3m (No. 221) and the conventional cell measures 5.417, 5.417 and 5.417 Å, with angles of 90.00, 90.00 and 90.00 degrees. Symmetry generates all atoms from Li at (0.000, 0.000, 0.000), La at (0.000, 0.000, 0.500) and Cd at (0.500, 0.500, 0.500).

***

Here is a relaxed HfTaGaHg2 crystal from the Alexandria database. Energies are from PBE.

The total moment is 0.0 μB per formula unit. Its density of states at the Fermi level is 3.008 states/eV/f.u. For the formation energy, the calculation gives 1.115 eV/atom. The value obtained for the relative energy among the computed polymorphs is 0.000 eV/atom.

The space group is P4/mmm (No. 123) and the conventional cell measures 4.811, 4.811 and 5.075 Å, with angles of 90.00, 90.00 and 90.00 degrees. Symmetry generates all atoms from Hf at (0.000, 0.000, 0.000), Ta at (0.500, 0.500, 0.000), Ga at (0.000, 0.000, 0.500) and Hg at (0.000, 0.500, 0.500).

***

Here is a relaxed LiGa2Os crystal from the Alexandria database. Energies are from PBE.

The total moment is 0.0 μB per formula unit. Its density of states at the Fermi level is 2.600 states/eV/f.u. For the formation energy, the calculation gives -0.050 eV/atom.

The space group is R3m (No. 160, hexagonal axes) and the conventional cell measures 2.9079, 2.9079 and 25.3627 Å, with angles of 90.00, 90.00 and 120.00 degrees. Symmetry generates all atoms from Li at (0.0000, 0.0000, 0.0000), Ga at (0.0000, 0.0000, 0.2479), Ga at (0.0000, 0.0000, 0.4213) and Os at (0.0000, 0.0000, 0.8347).

***

Here is a relaxed Zn2CoPt crystal from the Alexandria database. Energies are from PBE.

The total moment is 1.4 μB per formula unit. Its density of states at the Fermi level is 2.856 states/eV/f.u. For the formation energy, the calculation gives -0.197 eV/atom.

The space group is C2/m (No. 12) and the conventional cell measures 8.493, 2.749 and 4.769 Å, with angles of 90.00, 100.61 and 90.00 degrees. Symmetry generates all atoms from Zn at (0.247, 0.000, 0.238), Co at (0.000, 0.500, 0.000) and Pt at (0.000, 0.000, 0.500).

***

Look up the total moment of the second one.
1.7 μB per formula unit

***

total moment of number 6 (HfTaGaHg2)?
0.0 μB per formula unit

***

What is the total moment in the third record?
4.0 μB per formula unit